# 1
## PrThPt2 (PBE-GGA)

Data for PrThPt2 after structural relaxation.

The structure belongs to space group Pm (No. 6); the cell edges are 3.896, 4.525 and 5.935 Å and the angles 90.00°, 109.21° and 90.00°. The inequivalent atoms are Pr at (0.000, 0.000, 0.000), Th at (0.271, 0.500, 0.546), Pt at (0.549, 0.500, 0.097) and Pt at (0.733, 0.000, 0.469).

As for the total magnetic moment: 0.000 μB per atom. As for the energy above the most stable polymorph in this dataset: 0 meV per atom. Its total energy is -0.267 hartree per atom. The calculated formation energy comes out at -1.18 eV per atom.


# 2
## PrTh2Pt4 (PBE-GGA)

Data for PrTh2Pt4 after structural relaxation.

The structure belongs to space group I-42d (No. 122); the cell edges are 8.746, 8.746 and 8.753 Å and the angles 90.00°, 90.00° and 90.00°. The inequivalent atoms are Pr at (0.000, 0.000, 0.000), Th at (0.132, 0.250, 0.625) and Pt at (0.084, 0.161, 0.301).

As for the total magnetic moment: 0.000 μB per atom. Its total energy is -0.272 hartree per atom. The calculated formation energy comes out at -1.16 eV per atom.


# 3
## PrTh3Pt4 (PBE-GGA)

Data for PrTh3Pt4 after structural relaxation.

The structure belongs to space group P2/c (No. 13); the cell edges are 7.271, 8.542 and 7.209 Å and the angles 90.00°, 110.05° and 90.00°. The inequivalent atoms are Pr at (0.000, 0.125, 0.250), Th at (0.000, 0.375, 0.750), Th at (0.500, 0.126, 0.750), Th at (0.500, 0.375, 0.250), Pt at (0.252, 0.379, 0.504) and Pt at (0.259, 0.129, 0.999).

As for the total magnetic moment: 0.000 μB per atom. Its total energy is -0.278 hartree per atom. The calculated formation energy comes out at -1.18 eV per atom.


# 4
## PrThZnPt (PBE-GGA)

Data for PrThZnPt after structural relaxation.

The structure belongs to space group F-43m (No. 216); the cell edges are 7.315, 7.315 and 7.315 Å and the angles 90.00°, 90.00° and 90.00°. The inequivalent atoms are Pr at (0.000, 0.000, 0.000), Th at (0.000, 0.000, 0.500), Zn at (0.250, 0.250, 0.750) and Pt at (0.250, 0.250, 0.250).

As for the total magnetic moment: 0.000 μB per atom. Its total energy is -0.200 hartree per atom. The calculated formation energy comes out at -0.58 eV per atom.


# 5
## PrTiPt2 (PBE-GGA)

Data for PrTiPt2 after structural relaxation.

The structure belongs to space group P4/mmm (No. 123); the cell edges are 3.245, 3.245 and 7.418 Å and the angles 90.00°, 90.00° and 90.00°. The inequivalent atoms are Pr at (0.000, 0.000, 0.000), Ti at (0.000, 0.000, 0.500) and Pt at (0.500, 0.500, 0.307).

As for the total magnetic moment: 0.000 μB per atom. As for the energy above the most stable polymorph in this dataset: 50 meV per atom. Its total energy is -0.261 hartree per atom. The calculated formation energy comes out at -0.91 eV per atom.


# 6
## PrTi2Pt2 (PBE-GGA)

Data for PrTi2Pt2 after structural relaxation.

The structure belongs to space group I4/mmm (No. 139); the cell edges are 4.414, 4.414 and 10.609 Å and the angles 90.00°, 90.00° and 90.00°. The inequivalent atoms are Pr at (0.000, 0.000, 0.000), Ti at (0.000, 0.500, 0.250) and Pt at (0.000, 0.000, 0.373).

As for the total magnetic moment: 0.000 μB per atom. Its total energy is -0.272 hartree per atom. The calculated formation energy comes out at -0.88 eV per atom.


# 7
## PrTiPt2 (PBE-GGA)

Data for PrTiPt2 after structural relaxation.

The structure belongs to space group R-3m (No. 166, hexagonal axes); the cell edges are 4.4201, 4.4201 and 15.2186 Å and the angles 90.00°, 90.00° and 120.00°. The inequivalent atoms are Pr at (0.0000, 0.0000, 0.0000), Ti at (0.0000, 0.0000, 0.5000) and Pt at (0.0000, 0.0000, 0.2102).

As for the total magnetic moment: 0.000 μB per atom. As for the energy above the most stable polymorph in this dataset: 0 meV per atom. Its total energy is -0.263 hartree per atom. The calculated formation energy comes out at -0.96 eV per atom.


# 8
## Pr2TiZn3Pt4 (PBE-GGA)

Data for Pr2TiZn3Pt4 after structural relaxation.

The structure belongs to space group P-4m2 (No. 115); the cell edges are 4.165, 4.165 and 11.214 Å and the angles 90.00°, 90.00° and 90.00°. The inequivalent atoms are Pr at (0.000, 0.500, 0.238), Ti at (0.000, 0.000, 0.500), Zn at (0.000, 0.500, 0.867), Zn at (0.500, 0.500, 0.500), Pt at (0.000, 0.000, 0.000), Pt at (0.000, 0.500, 0.641) and Pt at (0.500, 0.500, 0.000).

As for the total magnetic moment: 0.000 μB per atom. Its total energy is -0.195 hartree per atom. The calculated formation energy comes out at -0.77 eV per atom.


# 9
## Pr2TiZnPt2 (PBE-GGA)

Data for Pr2TiZnPt2 after structural relaxation.

The structure belongs to space group Ibam (No. 72); the cell edges are 6.027, 13.751 and 6.449 Å and the angles 90.00°, 90.00° and 90.00°. The inequivalent atoms are Pr at (0.226, 0.173, 0.000), Ti at (0.000, 0.500, 0.250), Zn at (0.000, 0.000, 0.250) and Pt at (0.233, 0.394, 0.000).

As for the total magnetic moment: 0.000 μB per atom. Its total energy is -0.217 hartree per atom. The calculated formation energy comes out at -0.77 eV per atom.


# 10
## Pr2TiZn2Pt5 (PBE-GGA)

Data for Pr2TiZn2Pt5 after structural relaxation.

The structure belongs to space group P4/mbm (No. 127); the cell edges are 9.934, 9.934 and 3.755 Å and the angles 90.00°, 90.00° and 90.00°. The inequivalent atoms are Pr at (0.176, 0.324, 0.000), Ti at (0.000, 0.000, 0.000), Zn at (0.123, 0.623, 0.000), Pt at (0.000, 0.500, 0.500) and Pt at (0.058, 0.801, 0.500).

As for the total magnetic moment: 0.000 μB per atom. Its total energy is -0.215 hartree per atom. The calculated formation energy comes out at -0.83 eV per atom.


# 11
## Pr5Tl2Pt (PBE-GGA)

Data for Pr5Tl2Pt after structural relaxation.

The structure belongs to space group I4mm (No. 107); the cell edges are 7.306, 7.306 and 9.064 Å and the angles 90.00°, 90.00° and 90.00°. The inequivalent atoms are Pr at (0.000, 0.000, 0.000), Pr at (0.250, 0.250, 0.260), Tl at (0.000, 0.500, 0.009) and Pt at (0.000, 0.000, 0.598).

As for the total magnetic moment: 0.000 μB per atom. As for the energy above the most stable polymorph in this dataset: 158 meV per atom. Its total energy is -0.172 hartree per atom. The calculated formation energy comes out at -0.34 eV per atom.


# 12
## PrTlPt (PBE-GGA)

Data for PrTlPt after structural relaxation.

The structure belongs to space group P4/nmm (No. 129, origin choice 2); the cell edges are 4.322, 4.322 and 8.251 Å and the angles 90.00°, 90.00° and 90.00°. The inequivalent atoms are Pr at (0.250, 0.250, 0.148), Tl at (0.250, 0.750, 0.500) and Pt at (0.250, 0.250, 0.789).

As for the total magnetic moment: 0.000 μB per atom. Its total energy is -0.186 hartree per atom. The calculated formation energy comes out at -0.68 eV per atom.